(1)
First-principles (SCAN) data for Sm2Ta2Cl2O7 at its PBEsol-relaxed geometry, as listed in Alexandria.

Fermi-level density of states = 0.000 states/eV per atom
energy relative to the elements, uncorrected = -3.262 eV/atom
total magnetization = 0.000 μB/f.u.
symmetry = C2/m

Unit cell a=7.8628 b=7.8628 c=6.8408 alpha=113.16 beta=113.16 gamma=28.69
Atoms (fractional coordinates):
Sm 0.1933 0.1933 0.1644
Sm 0.8067 0.8067 0.8356
Ta 0.4646 0.4646 0.1988
Ta 0.5354 0.5354 0.8012
Cl 0.1797 0.1797 0.5660
Cl 0.8203 0.8203 0.4340
O 0.0471 0.0471 0.8421
O 0.3226 0.3226 0.0654
O 0.4170 0.4170 0.8454
O 0.5000 0.5000 0.5000
O 0.5830 0.5830 0.1546
O 0.6774 0.6774 0.9346
O 0.9529 0.9529 0.1579

(2)
First-principles (SCAN) data for Sm3WCl3O6 at its PBEsol-relaxed geometry, as listed in Alexandria.

Fermi-level density of states = 0.000 states/eV per atom
energy relative to the elements, uncorrected = -3.105 eV/atom
total magnetization = 0.000 μB/f.u.
symmetry = P6_3/m

Unit cell a=9.1150 b=9.1150 c=5.2624 alpha=90.00 beta=90.00 gamma=120.00
Atoms (fractional coordinates):
Sm 0.0913 0.6871 0.2500
Sm 0.3129 0.4043 0.2500
Sm 0.4043 0.0913 0.7500
Sm 0.5957 0.9087 0.2500
Sm 0.6871 0.5957 0.7500
Sm 0.9087 0.3129 0.7500
W 0.3333 0.6667 0.7500
W 0.6667 0.3333 0.2500
Cl 0.0495 0.8095 0.7500
Cl 0.1905 0.2400 0.7500
Cl 0.2400 0.0495 0.2500
Cl 0.7600 0.9505 0.7500
Cl 0.8095 0.7600 0.2500
Cl 0.9505 0.1905 0.2500
O 0.1582 0.5213 0.5146
O 0.1582 0.5213 0.9854
O 0.3631 0.8418 0.5146
O 0.3631 0.8418 0.9854
O 0.4787 0.6369 0.5146
O 0.4787 0.6369 0.9854
O 0.5213 0.3631 0.0146
O 0.5213 0.3631 0.4854
O 0.6369 0.1582 0.0146
O 0.6369 0.1582 0.4854
O 0.8418 0.4787 0.0146
O 0.8418 0.4787 0.4854

(3)
First-principles (SCAN) data for Sr4Cl6O at its PBEsol-relaxed geometry, as listed in Alexandria.

Fermi-level density of states = 0.000 states/eV per atom
energy relative to the elements, uncorrected = -2.865 eV/atom
total magnetization = 0.110 μB/f.u.
symmetry = P6_3mc

Unit cell a=9.4047 b=9.4047 c=7.1451 alpha=90.00 beta=90.00 gamma=120.00
Atoms (fractional coordinates):
Sr 0.1965 0.3930 0.0000
Sr 0.1965 0.8035 0.0000
Sr 0.3333 0.6667 0.5673
Sr 0.3930 0.1965 0.5000
Sr 0.6070 0.8035 0.0000
Sr 0.6667 0.3333 0.0673
Sr 0.8035 0.1965 0.5000
Sr 0.8035 0.6070 0.5000
Cl 0.0662 0.5331 0.2867
Cl 0.1418 0.2835 0.6079
Cl 0.1418 0.8582 0.6079
Cl 0.2835 0.1418 0.1079
Cl 0.4669 0.5331 0.2867
Cl 0.4669 0.9338 0.2867
Cl 0.5331 0.0662 0.7867
Cl 0.5331 0.4669 0.7867
Cl 0.7165 0.8582 0.6079
Cl 0.8582 0.1418 0.1079
Cl 0.8582 0.7165 0.1079
Cl 0.9338 0.4669 0.7867
O 0.3333 0.6667 0.8954
O 0.6667 0.3333 0.3954

(4)
First-principles (SCAN) data for SrCl2O at its PBEsol-relaxed geometry, as listed in Alexandria.

Fermi-level density of states = 1.303 states/eV per atom
energy relative to the elements, uncorrected = -1.346 eV/atom
total magnetization = 2.000 μB/f.u.
symmetry = Fm-3m

Unit cell a=4.8754 b=4.8754 c=4.8754 alpha=60.00 beta=60.00 gamma=60.00
Atoms (fractional coordinates):
Sr 0.0000 0.0000 0.0000
Cl 0.2500 0.2500 0.2500
Cl 0.7500 0.7500 0.7500
O 0.5000 0.5000 0.5000